(1)
Below is crystalline Ce2U2S7 at its relaxed geometry, with properties calculated at the GGA-PBE level.

a = 3.948 Å, b = 8.471 Å, c = 8.471 Å
α = 61.16°, β = 76.52°, γ = 76.52°
Last column: magnetic moment on the atom in μB.
Fractional coordinates of all 11 atoms:
S 0.187 0.704 0.923  -0.07
S 0.386 0.725 0.503  -0.06
U 0.742 0.842 0.673  2.19
S 0.500 0.013 0.987  -0.05
Ce 0.500 0.331 0.669  0.76
S 0.857 0.418 0.867  -0.06
Ce 0.000 0.787 0.213  0.70
S 0.143 0.133 0.582  -0.06
U 0.258 0.327 0.158  2.19
S 0.813 0.077 0.296  -0.07
S 0.614 0.497 0.275  -0.06

total energy = -81.545 eV per formula unit
space-group type = Imm2 (44)


(2)
Below is crystalline CeUS at its relaxed geometry, with properties calculated at the GGA-PBE level.

a = 5.249 Å, b = 3.719 Å, c = 3.719 Å
α = 120.00°, β = 90.00°, γ = 90.00°
Last column: magnetic moment on the atom in μB.
Fractional coordinates of all 3 atoms:
U 0.012 0.000 0.000  1.05
S 0.686 0.667 0.333  -0.02
Ce 0.302 0.333 0.667  0.40

total energy = -23.900 eV per formula unit
space-group type = P3m1 (156)


(3)
Below is crystalline CeUS3 at its relaxed geometry, with properties calculated at the GGA-PBE level.

a = 3.957 Å, b = 7.377 Å, c = 15.178 Å
α = 90.00°, β = 90.00°, γ = 90.00°
Last column: magnetic moment on the atom in μB.
Fractional coordinates of all 20 atoms:
U 0.250 0.262 0.959  2.44
Ce 0.250 0.615 0.293  0.92
S 0.250 0.508 0.102  -0.07
Ce 0.250 0.115 0.207  0.92
U 0.750 0.238 0.459  2.44
S 0.750 0.126 0.067  -0.07
S 0.750 0.492 0.898  -0.07
S 0.250 0.165 0.781  -0.04
U 0.750 0.738 0.041  2.44
S 0.750 0.835 0.219  -0.04
U 0.250 0.762 0.541  2.44
S 0.250 0.874 0.933  -0.07
S 0.750 0.626 0.433  -0.07
Ce 0.750 0.885 0.793  0.92
Ce 0.750 0.385 0.707  0.92
S 0.250 0.008 0.398  -0.07
S 0.750 0.335 0.281  -0.04
S 0.250 0.374 0.567  -0.07
S 0.250 0.665 0.719  -0.04
S 0.750 0.992 0.602  -0.07

total energy = -38.331 eV per formula unit
space-group type = Pnma (62)


(4)
Below is crystalline Ce3US4 at its relaxed geometry, with properties calculated at the GGA-PBE level.

a = 6.880 Å, b = 6.914 Å, c = 7.953 Å
α = 90.00°, β = 90.00°, γ = 109.41°
Last column: magnetic moment on the atom in μB.
Fractional coordinates of all 16 atoms:
Ce 0.250 0.500 0.876  0.41
Ce 0.750 0.500 0.124  0.41
Ce 0.750 0.500 0.625  0.31
S 0.001 0.244 0.122  -0.04
Ce 0.750 0.000 0.374  0.44
U 0.250 0.000 0.123  2.31
Ce 0.250 0.000 0.626  0.44
S 0.499 0.756 0.122  -0.04
S 0.999 0.756 0.878  -0.04
S 0.996 0.247 0.629  -0.02
S 0.504 0.753 0.629  -0.02
S 0.004 0.753 0.371  -0.02
S 0.496 0.247 0.371  -0.02
Ce 0.250 0.500 0.375  0.31
S 0.501 0.244 0.878  -0.04
U 0.750 0.000 0.877  2.31

total energy = -60.490 eV per formula unit
space-group type = P2/c (13)


(5)
Below is crystalline CeUS at its relaxed geometry, with properties calculated at the GGA-PBE level.

a = 7.922 Å, b = 7.922 Å, c = 7.706 Å
α = 125.92°, β = 125.92°, γ = 81.89°
Last column: magnetic moment on the atom in μB.
Fractional coordinates of all 12 atoms:
Ce 0.931 0.431 0.500  0.88
U 0.125 0.875 0.750  2.57
S 0.567 0.067 0.134  -0.03
U 0.125 0.375 0.250  2.57
S 0.933 0.433 0.866  -0.03
U 0.125 0.875 0.250  2.57
Ce 0.569 0.069 0.500  0.88
S 0.317 0.317 0.634  -0.03
Ce 0.319 0.319 0.000  0.88
S 0.683 0.683 0.366  -0.03
U 0.625 0.875 0.750  2.57
Ce 0.681 0.681 0.000  0.88

total energy = -23.071 eV per formula unit
space-group type = Fddd (70)


(6)
Below is crystalline Ce10US16 at its relaxed geometry, with properties calculated at the GGA-PBE level.

a = 8.492 Å, b = 8.492 Å, c = 8.484 Å
α = 90.00°, β = 90.00°, γ = 90.00°
Last column: magnetic moment on the atom in μB.
Fractional coordinates of all 27 atoms:
Ce 0.875 0.244 0.140  0.86
S 0.574 0.328 0.295  -0.01
S 0.078 0.669 0.458  0.00
S 0.922 0.331 0.458  0.00
S 0.568 0.180 0.947  -0.04
U 0.500 0.500 0.000  2.54
Ce 0.632 0.247 0.619  -0.61
Ce 0.247 0.368 0.381  -0.61
S 0.426 0.672 0.295  -0.01
S 0.081 0.819 0.815  -0.02
S 0.819 0.919 0.185  -0.02
S 0.180 0.432 0.053  -0.04
S 0.432 0.820 0.947  -0.04
S 0.331 0.078 0.542  0.00
S 0.328 0.426 0.705  -0.01
Ce 0.753 0.632 0.381  -0.61
Ce 0.756 0.875 0.860  0.86
S 0.919 0.181 0.815  -0.02
Ce 0.500 0.000 0.243  0.83
S 0.820 0.568 0.053  -0.04
Ce 0.125 0.756 0.140  0.86
Ce 0.244 0.125 0.860  0.86
Ce 0.000 0.500 0.757  0.83
S 0.181 0.081 0.185  -0.02
S 0.672 0.574 0.705  -0.01
S 0.669 0.922 0.542  0.00
Ce 0.368 0.753 0.619  -0.61

total energy = -188.881 eV per formula unit
space-group type = P-4 (81)


(7)
Below is crystalline Ce2US3 at its relaxed geometry, with properties calculated at the GGA-PBE level.

a = 6.854 Å, b = 6.854 Å, c = 6.906 Å
α = 99.52°, β = 99.52°, γ = 119.99°
Last column: magnetic moment on the atom in μB.
Fractional coordinates of all 12 atoms:
S 0.252 0.246 0.756  -0.04
S 0.754 0.748 0.244  -0.04
U 0.000 0.000 0.000  2.29
S 0.912 0.585 0.756  -0.04
S 0.074 0.408 0.242  -0.04
S 0.592 0.926 0.758  -0.04
Ce 0.833 0.167 0.500  0.38
U 0.666 0.334 0.000  2.29
Ce 0.169 0.831 0.500  0.38
Ce 0.333 0.667 0.000  0.50
S 0.415 0.088 0.244  -0.04
Ce 0.497 0.503 0.500  0.38

total energy = -46.368 eV per formula unit
space-group type = C2/m (12)


(8)
Below is crystalline CeU2S5 at its relaxed geometry, with properties calculated at the GGA-PBE level.

a = 7.399 Å, b = 7.945 Å, c = 11.804 Å
α = 90.00°, β = 90.00°, γ = 90.00°
Last column: magnetic moment on the atom in μB.
Fractional coordinates of all 32 atoms:
S 0.167 0.045 0.096  -0.04
S 0.301 0.750 0.283  0.00
Ce 0.026 0.001 0.322  0.64
S 0.840 0.957 0.900  -0.04
S 0.340 0.457 0.600  -0.04
S 0.699 0.250 0.717  0.00
U 0.479 0.498 0.822  -2.35
U 0.074 0.750 0.007  2.01
U 0.021 0.498 0.322  -2.35
S 0.660 0.957 0.400  -0.04
S 0.330 0.250 0.312  0.00
S 0.960 0.249 0.500  0.00
U 0.926 0.250 0.993  2.01
S 0.801 0.250 0.217  0.00
S 0.460 0.749 0.000  0.00
S 0.667 0.545 0.404  -0.04
S 0.170 0.250 0.812  0.00
U 0.574 0.250 0.493  2.01
S 0.199 0.750 0.783  0.00
U 0.426 0.750 0.507  2.01
S 0.833 0.545 0.904  -0.04
S 0.040 0.749 0.500  0.00
S 0.333 0.045 0.596  -0.04
Ce 0.974 0.501 0.678  0.64
U 0.521 0.998 0.178  -2.35
Ce 0.526 0.501 0.178  0.64
S 0.160 0.457 0.100  -0.04
Ce 0.474 0.001 0.822  0.64
S 0.540 0.249 0.000  0.00
U 0.979 0.998 0.678  -2.35
S 0.670 0.750 0.688  0.00
S 0.830 0.750 0.188  0.00

total energy = -61.812 eV per formula unit
space-group type = Pna2_1 (33)


(9)
Below is crystalline CeU6S8 at its relaxed geometry, with properties calculated at the GGA-PBE level.

a = 7.277 Å, b = 7.277 Å, c = 7.277 Å
α = 69.36°, β = 69.36°, γ = 69.36°
Last column: magnetic moment on the atom in μB.
Fractional coordinates of all 15 atoms:
S 0.199 0.625 0.903  -0.07
U 0.298 0.927 0.543  2.53
S 0.903 0.199 0.625  -0.07
Ce 0.000 0.000 0.000  0.87
S 0.625 0.903 0.199  -0.07
U 0.702 0.073 0.457  2.53
U 0.543 0.298 0.927  2.53
U 0.457 0.702 0.073  2.53
S 0.333 0.333 0.333  -0.07
U 0.073 0.457 0.702  2.53
U 0.927 0.543 0.298  2.53
S 0.801 0.375 0.097  -0.07
S 0.097 0.801 0.375  -0.07
S 0.375 0.097 0.801  -0.07
S 0.667 0.667 0.667  -0.07

total energy = -125.741 eV per formula unit
space-group type = R-3 (148)


(10)
Below is crystalline CeUS4 at its relaxed geometry, with properties calculated at the GGA-PBE level.

a = 4.593 Å, b = 4.593 Å, c = 6.531 Å
α = 90.06°, β = 90.06°, γ = 90.00°
Last column: magnetic moment on the atom in μB.
Fractional coordinates of all 6 atoms:
S 0.000 0.500 0.741  -0.06
Ce 0.000 0.000 0.000  0.47
U 0.500 0.500 0.500  1.76
S 0.500 0.000 0.259  -0.06
S 0.500 0.000 0.741  -0.06
S 0.000 0.500 0.259  -0.06

total energy = -43.311 eV per formula unit
space-group type = C2/m (12)


(11)
Below is crystalline Ce2US3 at its relaxed geometry, with properties calculated at the GGA-PBE level.

a = 3.991 Å, b = 5.574 Å, c = 7.228 Å
α = 112.68°, β = 90.00°, γ = 90.00°
Last column: magnetic moment on the atom in μB.
Fractional coordinates of all 6 atoms:
S 0.000 0.500 0.000  -0.05
S 0.500 0.855 0.710  -0.04
Ce 0.500 0.354 0.708  0.86
S 0.500 0.145 0.290  -0.04
Ce 0.500 0.646 0.292  0.86
U 0.000 0.000 0.000  2.45

total energy = -44.972 eV per formula unit
space-group type = Cmmm (65)


(12)
Below is crystalline Ce2US4 at its relaxed geometry, with properties calculated at the GGA-PBE level.

a = 3.887 Å, b = 6.987 Å, c = 13.062 Å
α = 90.00°, β = 90.00°, γ = 106.15°
Last column: magnetic moment on the atom in μB.
Fractional coordinates of all 14 atoms:
Ce 0.133 0.266 0.070  0.96
S 0.224 0.448 0.872  -0.05
S 0.776 0.552 0.128  -0.05
S 0.500 0.000 0.500  -0.04
S 0.978 0.955 0.750  -0.05
S 0.776 0.552 0.372  -0.05
S 0.022 0.045 0.250  -0.05
Ce 0.133 0.266 0.430  0.96
Ce 0.867 0.734 0.930  0.96
S 0.500 0.000 0.000  -0.04
Ce 0.867 0.734 0.570  0.96
S 0.224 0.448 0.628  -0.05
U 0.623 0.247 0.750  2.67
U 0.377 0.753 0.250  2.67

total energy = -51.711 eV per formula unit
space-group type = Cmcm (63)


(13)
Below is crystalline CeUS3 at its relaxed geometry, with properties calculated at the GGA-PBE level.

a = 5.163 Å, b = 6.505 Å, c = 8.714 Å
α = 111.92°, β = 90.00°, γ = 90.00°
Last column: magnetic moment on the atom in μB.
Fractional coordinates of all 10 atoms:
U 0.500 0.881 0.762  2.15
S 0.500 0.268 0.000  -0.07
S 0.000 0.145 0.290  -0.07
S 0.500 0.000 0.500  -0.08
S 0.500 0.500 0.500  -0.08
Ce 0.000 0.316 0.633  1.36
S 0.500 0.732 0.000  -0.07
U 0.500 0.119 0.238  2.15
S 0.000 0.855 0.710  -0.07
Ce 0.000 0.684 0.367  1.36

total energy = -36.298 eV per formula unit
space-group type = Cmmm (65)


(14)
Below is crystalline CeU2S5 at its relaxed geometry, with properties calculated at the GGA-PBE level.

a = 7.390 Å, b = 7.883 Å, c = 11.826 Å
α = 90.00°, β = 90.00°, γ = 90.00°
Last column: magnetic moment on the atom in μB.
Fractional coordinates of all 32 atoms:
U 0.512 0.001 0.180  2.48
S 0.838 0.452 0.894  -0.06
S 0.710 0.750 0.719  -0.07
S 0.470 0.250 0.001  -0.07
U 0.488 0.501 0.820  2.48
S 0.662 0.048 0.394  -0.06
U 0.012 0.999 0.320  2.48
U 0.488 0.999 0.820  2.48
S 0.530 0.750 0.999  -0.07
S 0.290 0.250 0.281  -0.07
S 0.338 0.548 0.606  -0.06
S 0.662 0.452 0.394  -0.06
Ce 0.083 0.250 0.008  0.68
U 0.012 0.501 0.320  2.48
S 0.210 0.250 0.781  -0.07
S 0.322 0.750 0.313  -0.07
Ce 0.583 0.750 0.492  0.68
U 0.512 0.499 0.180  2.48
Ce 0.917 0.750 0.992  0.68
U 0.988 0.001 0.680  2.48
Ce 0.417 0.250 0.508  0.68
S 0.338 0.952 0.606  -0.06
U 0.988 0.499 0.680  2.48
S 0.162 0.548 0.106  -0.06
S 0.162 0.952 0.106  -0.06
S 0.030 0.250 0.501  -0.07
S 0.970 0.750 0.499  -0.07
S 0.678 0.250 0.687  -0.07
S 0.838 0.048 0.894  -0.06
S 0.178 0.750 0.813  -0.07
S 0.790 0.750 0.219  -0.07
S 0.822 0.250 0.187  -0.07

total energy = -61.780 eV per formula unit
space-group type = Pnma (62)


(15)
Below is crystalline CeVS3 at its relaxed geometry, with properties calculated at the GGA-PBE level.

a = 3.729 Å, b = 7.493 Å, c = 7.493 Å
α = 71.35°, β = 90.00°, γ = 90.00°
Last column: magnetic moment on the atom in μB.
Fractional coordinates of all 10 atoms:
V 0.363 0.194 0.746  1.90
S 0.363 0.023 0.076  -0.07
Ce 0.363 0.694 0.747  0.80
S 0.863 0.011 0.679  -0.06
V 0.363 0.694 0.247  1.90
S 0.363 0.365 0.417  -0.07
S 0.863 0.761 0.429  -0.06
S 0.863 0.377 0.813  -0.06
S 0.863 0.627 0.064  -0.05
Ce 0.863 0.194 0.247  0.76

total energy = -34.150 eV per formula unit
space-group type = Cmmm (65)


(16)
Below is crystalline Ce6VS12 at its relaxed geometry, with properties calculated at the GGA-PBE level.

a = 7.859 Å, b = 7.859 Å, c = 7.859 Å
α = 99.18°, β = 99.18°, γ = 99.18°
Last column: magnetic moment on the atom in μB.
Fractional coordinates of all 19 atoms:
Ce 0.293 0.624 0.132  0.56
S 0.966 0.063 0.308  -0.05
Ce 0.624 0.132 0.293  0.56
S 0.564 0.822 0.417  -0.03
S 0.308 0.966 0.063  -0.05
Ce 0.707 0.376 0.868  0.56
S 0.583 0.436 0.178  -0.03
Ce 0.376 0.868 0.707  0.56
S 0.692 0.034 0.937  -0.05
S 0.417 0.564 0.822  -0.03
S 0.436 0.178 0.583  -0.03
S 0.063 0.308 0.966  -0.05
Ce 0.132 0.293 0.624  0.56
S 0.178 0.583 0.436  -0.03
S 0.822 0.417 0.564  -0.03
S 0.937 0.692 0.034  -0.05
Ce 0.868 0.707 0.376  0.56
S 0.034 0.937 0.692  -0.05
V 0.000 0.000 0.000  1.81

total energy = -127.672 eV per formula unit
space-group type = R-3 (148)


(17)
Below is crystalline CeVS2 at its relaxed geometry, with properties calculated at the GGA-PBE level.

a = 3.859 Å, b = 3.859 Å, c = 6.166 Å
α = 71.76°, β = 71.76°, γ = 60.00°
Last column: magnetic moment on the atom in μB.
Fractional coordinates of all 4 atoms:
S 0.766 0.766 0.703  -0.02
V 0.500 0.500 0.500  1.93
Ce 0.000 0.000 0.000  -0.88
S 0.234 0.234 0.297  -0.02

total energy = -28.691 eV per formula unit
space-group type = R-3m (166)


(18)
Below is crystalline CeVS4 at its relaxed geometry, with properties calculated at the GGA-PBE level.

a = 6.627 Å, b = 6.627 Å, c = 5.915 Å
α = 124.07°, β = 124.07°, γ = 90.00°
Last column: magnetic moment on the atom in μB.
Fractional coordinates of all 6 atoms:
V 0.500 0.500 0.000  0.20
Ce 0.750 0.250 0.500  0.85
S 0.418 0.816 0.294  -0.02
S 0.877 0.478 0.294  -0.02
S 0.522 0.582 0.706  -0.02
S 0.184 0.123 0.706  -0.02

total energy = -37.822 eV per formula unit
space-group type = I-4 (82)